AcTiTeO6: optimized geometry, PBE.

Cell lengths 5.371, 5.371, 10.712 Å; angles 90.00, 90.00, 120.00 degrees
Atoms (fractional coordinates):
Ac 0.000 0.000 0.000
Ac 0.000 0.000 0.500
Ti 0.333 0.667 0.250
Ti 0.667 0.333 0.750
Te 0.333 0.667 0.750
Te 0.667 0.333 0.250
O 0.007 0.383 0.145
O 0.007 0.623 0.355
O 0.377 0.383 0.355
O 0.377 0.993 0.145
O 0.383 0.007 0.645
O 0.383 0.377 0.855
O 0.617 0.623 0.145
O 0.617 0.993 0.355
O 0.623 0.007 0.855
O 0.623 0.617 0.645
O 0.993 0.377 0.645
O 0.993 0.617 0.855

Properties
ΔE_f (raw) = -2.388 eV per atom
symmetry = No. 163

---

GaRh2: optimized geometry, PBE.

Cell lengths 5.431, 5.431, 5.431 Å; angles 148.96, 148.96, 44.47 degrees
Atoms (fractional coordinates):
Ga 0.000 0.000 0.000
Rh 0.344 0.344 0.000
Rh 0.656 0.656 0.000

Properties
symmetry = No. 139
final energy = -6.29 eV/atom

---

Al2Si4Ni: optimized geometry, PBE.

Cell lengths 7.204, 3.434, 8.900 Å; angles 90.00, 94.74, 90.00 degrees
Atoms (fractional coordinates):
Al 0.012 0.250 0.238
Al 0.380 0.250 0.227
Al 0.620 0.750 0.773
Al 0.988 0.750 0.762
Si 0.100 0.250 0.574
Si 0.131 0.250 0.974
Si 0.373 0.750 0.961
Si 0.433 0.250 0.581
Si 0.567 0.750 0.419
Si 0.627 0.250 0.039
Si 0.869 0.750 0.026
Si 0.900 0.750 0.426
Ni 0.238 0.750 0.412
Ni 0.762 0.250 0.588

Properties
ΔE_f (raw) = 0.131 eV per atom
symmetry = No. 11

---

Pr8HoTm6: optimized geometry, PBE.

Cell lengths 9.436, 9.436, 6.573 Å; angles 90.00, 90.00, 120.00 degrees
Atoms (fractional coordinates):
Pr 0.040 0.751 0.169
Pr 0.249 0.289 0.169
Pr 0.289 0.040 0.831
Pr 0.333 0.667 0.121
Pr 0.667 0.333 0.879
Pr 0.711 0.960 0.169
Pr 0.751 0.711 0.831
Pr 0.960 0.249 0.831
Ho 0.000 0.000 0.500
Tm 0.097 0.658 0.656
Tm 0.342 0.439 0.656
Tm 0.439 0.097 0.344
Tm 0.561 0.903 0.656
Tm 0.658 0.561 0.344
Tm 0.903 0.342 0.344

Properties
symmetry = No. 147
final energy = -4.47 eV/atom

---

CeSiMo: optimized geometry, PBE.

Cell lengths 4.347, 3.513, 7.817 Å; angles 90.00, 90.48, 90.00 degrees
Atoms (fractional coordinates):
Ce 0.245 0.250 0.143
Ce 0.755 0.750 0.857
Si 0.253 0.250 0.720
Si 0.747 0.750 0.280
Mo 0.250 0.750 0.484
Mo 0.750 0.250 0.516

Properties
ΔE_f (raw) = -0.429 eV per atom
symmetry = No. 11

---

AcMg2Hg: optimized geometry, PBE.

Cell lengths 18.152, 8.028, 6.184 Å; angles 90.00, 90.00, 90.00 degrees
Atoms (fractional coordinates):
Ac 0.105 0.250 0.242
Ac 0.144 0.750 0.466
Ac 0.356 0.250 0.966
Ac 0.395 0.750 0.742
Ac 0.605 0.250 0.258
Ac 0.644 0.750 0.034
Ac 0.856 0.250 0.534
Ac 0.895 0.750 0.758
Mg 0.034 0.057 0.742
Mg 0.034 0.443 0.742
Mg 0.215 0.558 0.961
Mg 0.215 0.942 0.961
Mg 0.285 0.058 0.461
Mg 0.285 0.442 0.461
Mg 0.466 0.557 0.242
Mg 0.466 0.943 0.242
Mg 0.534 0.057 0.758
Mg 0.534 0.443 0.758
Mg 0.715 0.558 0.539
Mg 0.715 0.942 0.539
Mg 0.785 0.058 0.039
Mg 0.785 0.442 0.039
Mg 0.966 0.557 0.258
Mg 0.966 0.943 0.258
Hg 0.071 0.750 0.972
Hg 0.179 0.250 0.736
Hg 0.321 0.750 0.236
Hg 0.429 0.250 0.472
Hg 0.571 0.750 0.528
Hg 0.679 0.250 0.764
Hg 0.821 0.750 0.264
Hg 0.929 0.250 0.028

Properties
symmetry = No. 62
final energy = -2.17 eV/atom

---

Ba2SiMoP: optimized geometry, PBE.

Cell lengths 6.208, 6.208, 4.518 Å; angles 90.00, 90.00, 90.00 degrees
Atoms (fractional coordinates):
Ba 0.000 0.500 0.000
Ba 0.500 0.000 0.000
Si 0.000 0.000 0.500
Mo 0.500 0.500 0.500
P 0.000 0.000 0.000

Properties
ΔE_f (raw) = 0.625 eV per atom
symmetry = No. 123

---

LiB2C2: optimized geometry, PBE.

Cell lengths 7.167, 7.167, 7.133 Å; angles 90.00, 90.00, 21.74 degrees
Atoms (fractional coordinates):
Li 0.000 0.000 0.000
Li 0.021 0.021 0.500
Li 0.693 0.693 0.008
B 0.126 0.126 0.756
B 0.234 0.234 0.275
B 0.456 0.456 0.741
B 0.569 0.569 0.244
B 0.792 0.792 0.740
B 0.900 0.900 0.269
C 0.125 0.125 0.243
C 0.235 0.235 0.754
C 0.458 0.458 0.258
C 0.568 0.568 0.756
C 0.790 0.790 0.277
C 0.902 0.902 0.734

Properties
symmetry = No. 8
final energy = -6.77 eV/atom

---

RbGaNO2: optimized geometry, PBE.

Cell lengths 5.059, 5.059, 5.342 Å; angles 90.00, 90.00, 90.00 degrees
Atoms (fractional coordinates):
Rb 0.000 0.000 0.000
Ga 0.500 0.500 0.500
N 0.000 0.000 0.500
O 0.000 0.500 0.000
O 0.500 0.000 0.000

Properties
ΔE_f (raw) = 1.372 eV per atom
symmetry = No. 123

---

K4Cd4Pb: optimized geometry, PBE.

Cell lengths 10.153, 10.153, 6.814 Å; angles 90.00, 90.00, 90.00 degrees
Atoms (fractional coordinates):
K 0.068 0.662 0.115
K 0.162 0.932 0.615
K 0.338 0.568 0.615
K 0.432 0.838 0.115
K 0.568 0.162 0.885
K 0.662 0.432 0.385
K 0.838 0.068 0.385
K 0.932 0.338 0.885
Cd 0.090 0.333 0.386
Cd 0.167 0.090 0.114
Cd 0.333 0.410 0.114
Cd 0.410 0.167 0.386
Cd 0.590 0.833 0.614
Cd 0.667 0.590 0.886
Cd 0.833 0.910 0.886
Cd 0.910 0.667 0.614
Pb 0.250 0.250 0.750
Pb 0.750 0.750 0.250

Properties
symmetry = No. 86
final energy = -1.34 eV/atom

---

Sc3TaN: optimized geometry, PBE.

Cell lengths 5.020, 5.020, 5.020 Å; angles 90.00, 90.00, 90.00 degrees
Atoms (fractional coordinates):
Sc 0.000 0.000 0.500
Sc 0.000 0.500 0.000
Sc 0.500 0.000 0.000
Ta 0.000 0.000 0.000
N 0.500 0.500 0.500

Properties
ΔE_f (raw) = 1.658 eV per atom
symmetry = No. 221

---

Ta2MoPt: optimized geometry, PBE.

Cell lengths 9.906, 9.906, 9.906 Å; angles 16.50, 16.50, 16.50 degrees
Atoms (fractional coordinates):
Ta 0.000 0.000 0.000
Ta 0.244 0.244 0.244
Mo 0.752 0.752 0.752
Pt 0.498 0.498 0.498

Properties
symmetry = No. 160
final energy = -10.12 eV/atom

---

Pm5CuAu4: optimized geometry, PBE.

Cell lengths 3.656, 3.656, 18.533 Å; angles 90.00, 90.00, 90.00 degrees
Atoms (fractional coordinates):
Pm 0.000 0.000 0.000
Pm 0.000 0.000 0.203
Pm 0.000 0.000 0.404
Pm 0.000 0.000 0.596
Pm 0.000 0.000 0.797
Cu 0.500 0.500 0.500
Au 0.500 0.500 0.101
Au 0.500 0.500 0.305
Au 0.500 0.500 0.695
Au 0.500 0.500 0.899

Properties
symmetry = No. 123
final energy = -4.76 eV/atom

---

La2ThCo: optimized geometry, PBE.

Cell lengths 11.003, 11.003, 11.003 Å; angles 18.31, 18.31, 18.31 degrees
Atoms (fractional coordinates):
La 0.074 0.074 0.074
La 0.926 0.926 0.926
Th 0.500 0.500 0.500
Co 0.000 0.000 0.000

Properties
symmetry = No. 166
final energy = -5.64 eV/atom

---

Cd2AgI4: optimized geometry, PBE.

Cell lengths 7.128, 7.128, 5.922 Å; angles 90.00, 90.00, 90.00 degrees
Atoms (fractional coordinates):
Cd 0.000 0.500 0.000
Cd 0.500 0.000 0.000
Ag 0.000 0.000 0.500
I 0.249 0.249 0.737
I 0.249 0.751 0.263
I 0.751 0.249 0.263
I 0.751 0.751 0.737

Properties
ΔE_f (raw) = -0.326 eV per atom
symmetry = No. 111

---

Pu4AlSb: optimized geometry, PBE.

Cell lengths 3.134, 5.017, 8.855 Å; angles 90.00, 90.00, 90.00 degrees
Atoms (fractional coordinates):
Pu 0.000 0.000 0.000
Pu 0.000 0.000 0.331
Pu 0.000 0.500 0.475
Pu 0.000 0.500 0.820
Al 0.500 0.500 0.156
Sb 0.500 0.000 0.655

Properties
ΔE_f (raw) = -0.104 eV per atom
symmetry = No. 25

---

MnCr2H: optimized geometry, PBE.

Cell lengths 2.785, 9.382, 2.785 Å; angles 90.00, 90.00, 90.00 degrees
Atoms (fractional coordinates):
Mn 0.000 0.117 0.000
Mn 0.500 0.883 0.500
Cr 0.000 0.426 0.000
Cr 0.000 0.729 0.000
Cr 0.500 0.271 0.500
Cr 0.500 0.574 0.500
H 0.000 0.923 0.998
H 0.500 0.077 0.498

Properties
symmetry = No. 31
final energy = -7.88 eV/atom

---

Pr12BiRh6: optimized geometry, PBE.

Cell lengths 8.957, 8.957, 8.957 Å; angles 109.47, 109.47, 109.47 degrees
Atoms (fractional coordinates):
Pr 0.123 0.308 0.815
Pr 0.185 0.493 0.308
Pr 0.185 0.877 0.692
Pr 0.308 0.185 0.493
Pr 0.308 0.815 0.123
Pr 0.493 0.308 0.185
Pr 0.507 0.692 0.815
Pr 0.692 0.185 0.877
Pr 0.692 0.815 0.507
Pr 0.815 0.123 0.308
Pr 0.815 0.507 0.692
Pr 0.877 0.692 0.185
Bi 0.000 0.000 0.000
Rh 0.132 0.500 0.632
Rh 0.368 0.868 0.500
Rh 0.500 0.368 0.868
Rh 0.500 0.632 0.132
Rh 0.632 0.132 0.500
Rh 0.868 0.500 0.368

Properties
symmetry = No. 204
final energy = -6.08 eV/atom

---

SrIn2Rh: optimized geometry, PBE.

Cell lengths 4.407, 8.091, 5.920 Å; angles 90.00, 111.74, 90.00 degrees
Atoms (fractional coordinates):
Sr 0.060 0.250 0.120
Sr 0.940 0.750 0.880
In 0.346 0.053 0.691
In 0.346 0.447 0.691
In 0.654 0.553 0.309
In 0.654 0.947 0.309
Rh 0.218 0.750 0.437
Rh 0.782 0.250 0.563

Properties
symmetry = No. 11
final energy = -4.13 eV/atom

---

Number 1: density 6.2 g cm⁻³, spin magnetization 0.00 μB per formula unit, Fermi-level density of states 0.423 states/eV/atom. Number 2: density 10.8 g cm⁻³, spin magnetization 0.00 μB per formula unit, Fermi-level density of states 1.569 states/eV/atom. Number 3: density 3.4 g cm⁻³, spin magnetization 0.00 μB per formula unit, Fermi-level density of states 0.323 states/eV/atom. Number 4: density 7.6 g cm⁻³, spin magnetization 0.00 μB per formula unit, Fermi-level density of states 1.478 states/eV/atom. Number 5: density 7.3 g cm⁻³, spin magnetization 0.86 μB per formula unit, Fermi-level density of states 1.790 states/eV/atom. Number 6: density 7.0 g cm⁻³, spin magnetization 0.00 μB per formula unit, Fermi-level density of states 0.766 states/eV/atom. Number 7: density 4.1 g cm⁻³, spin magnetization 4.58 μB per formula unit, Fermi-level density of states 0.979 states/eV/atom. Number 8: density 1.9 g cm⁻³, spin magnetization 0.00 μB per formula unit, Fermi-level density of states 0.222 states/eV/atom. Number 9: density 2.4 g cm⁻³, spin magnetization 5.00 μB per formula unit, Fermi-level density of states 1.012 states/eV/atom. Number 10: density 3.8 g cm⁻³, spin magnetization 0.00 μB per formula unit, Fermi-level density of states 0.585 states/eV/atom. Number 11: density 4.3 g cm⁻³, spin magnetization 0.00 μB per formula unit, Fermi-level density of states 0.578 states/eV/atom. Number 12: density 15.8 g cm⁻³, spin magnetization 0.00 μB per formula unit, Fermi-level density of states 1.148 states/eV/atom. Number 13: density 10.6 g cm⁻³, spin magnetization 0.00 μB per formula unit, Fermi-level density of states 0.660 states/eV/atom. Number 14: density 8.2 g cm⁻³, spin magnetization 0.45 μB per formula unit, Fermi-level density of states 1.243 states/eV/atom. Number 15: density 4.6 g cm⁻³, spin magnetization 0.00 μB per formula unit, Fermi-level density of states 0.444 states/eV/atom. Number 16: density 13.4 g cm⁻³, spin magnetization 11.70 μB per formula unit, Fermi-level density of states 3.636 states/eV/atom. Number 17: density 7.3 g cm⁻³, spin magnetization 0.00 μB per formula unit, Fermi-level density of states 0.739 states/eV/atom. Number 18: density 7.6 g cm⁻³, spin magnetization 0.00 μB per formula unit, Fermi-level density of states 0.677 states/eV/atom. Number 19: density 7.1 g cm⁻³, spin magnetization 0.00 μB per formula unit, Fermi-level density of states 0.509 states/eV/atom.